[1]
ErCrOs: relaxed, GGA-PBE.

## Properties
SG	Fddd
E_form	0.307	eV per atom
polymorph energy (0 for the lowest one)	44.31	kJ/mol of atoms

a = 4.785 Å, b = 5.716 Å, c = 9.758 Å
α = 84.11°, β = 75.81°, γ = 65.26°
Fractional coordinates of all 12 atoms:
Os (0.623, 0.500, 0.753)
Os (0.127, 0.000, 0.747)
Os (0.877, 0.500, 0.247)
Os (0.873, 0.000, 0.253)
Cr (0.409, 0.000, 0.183)
Cr (0.341, 0.500, 0.317)
Cr (0.159, 0.500, 0.683)
Cr (0.591, 0.000, 0.817)
Er (0.898, 0.204, 0.500)
Er (0.852, 0.296, 0.000)
Er (0.148, 0.704, 0.000)
Er (0.602, 0.796, 0.500)

---

[2]
Er2CrOs: relaxed, GGA-PBE.

## Properties
SG	R-3m
E_form	0.614	eV per atom

a = 3.246 Å, b = 3.246 Å, c = 10.147 Å
α = 80.80°, β = 80.80°, γ = 60.00°
Fractional coordinates of all 4 atoms:
Er (0.096, 0.096, 0.711)
Er (0.904, 0.904, 0.289)
Cr (0.000, 0.000, 0.000)
Os (0.500, 0.500, 0.500)

---

[3]
Er2CrOs3: relaxed, GGA-PBE.

## Properties
SG	P6_3/mmc
E_form	-0.276	eV per atom

a = 5.378 Å, b = 5.378 Å, c = 8.350 Å
α = 90.00°, β = 90.00°, γ = 120.00°
Fractional coordinates of all 12 atoms:
Os (0.830, 0.170, 0.750)
Os (0.339, 0.170, 0.750)
Os (0.170, 0.830, 0.250)
Os (0.661, 0.830, 0.250)
Os (0.830, 0.661, 0.750)
Os (0.170, 0.339, 0.250)
Cr (0.000, 0.000, 0.500)
Cr (0.000, 0.000, 0.000)
Er (0.333, 0.667, 0.565)
Er (0.333, 0.667, 0.935)
Er (0.667, 0.333, 0.435)
Er (0.667, 0.333, 0.065)

---

[4]
ErCrP2: relaxed, GGA-PBE.

## Properties
SG	R-3m
E_form	-0.906	eV per atom

a = 3.764 Å, b = 3.764 Å, c = 6.155 Å
α = 72.20°, β = 72.20°, γ = 60.00°
Fractional coordinates of all 4 atoms:
P (0.735, 0.735, 0.795)
P (0.265, 0.265, 0.205)
Er (0.500, 0.500, 0.500)
Cr (0.000, 0.000, 0.000)

---

[5]
ErCrP2Rh5: relaxed, GGA-PBE.

## Properties
SG	P4/mmm
E_form	-0.297	eV per atom

a = 4.315 Å, b = 4.315 Å, c = 9.684 Å
α = 90.00°, β = 90.00°, γ = 90.00°
Fractional coordinates of all 9 atoms:
Rh (0.500, 0.000, 0.297)
Rh (0.000, 0.000, 0.500)
Rh (0.500, 0.000, 0.703)
Rh (0.000, 0.500, 0.703)
Rh (0.000, 0.500, 0.297)
P (0.000, 0.000, 0.759)
P (0.000, 0.000, 0.241)
Er (0.500, 0.500, 0.500)
Cr (0.000, 0.000, 0.000)

---

[6]
ErPaCrTc: relaxed, GGA-PBE.

## Properties
SG	F-43m
E_form	0.093	eV per atom

a = 4.834 Å, b = 4.834 Å, c = 4.834 Å
α = 60.00°, β = 60.00°, γ = 60.00°
Fractional coordinates of all 4 atoms:
Er (0.500, 0.500, 0.500)
Tc (0.750, 0.750, 0.750)
Cr (0.250, 0.250, 0.250)
Pa (0.000, 0.000, 0.000)

---

[7]
Er3CrPt12: relaxed, GGA-PBE.

## Properties
SG	P4/mmm
E_form	-0.851	eV per atom

a = 4.055 Å, b = 4.055 Å, c = 16.246 Å
α = 90.00°, β = 90.00°, γ = 90.00°
Fractional coordinates of all 16 atoms:
Er (0.000, 0.000, 0.754)
Er (0.000, 0.000, 0.246)
Er (0.000, 0.000, 0.500)
Pt (0.500, 0.500, 0.244)
Pt (0.500, 0.000, 0.372)
Pt (0.500, 0.000, 0.115)
Pt (0.500, 0.500, 0.500)
Pt (0.000, 0.500, 0.372)
Pt (0.500, 0.000, 0.885)
Pt (0.500, 0.500, 0.756)
Pt (0.500, 0.000, 0.628)
Pt (0.000, 0.500, 0.115)
Pt (0.500, 0.500, 0.000)
Pt (0.000, 0.500, 0.885)
Pt (0.000, 0.500, 0.628)
Cr (0.000, 0.000, 0.000)

---

[8]
Er2CrPt9: relaxed, GGA-PBE.

## Properties
SG	P4/mmm
E_form	-0.781	eV per atom

a = 4.039 Å, b = 4.039 Å, c = 12.149 Å
α = 90.00°, β = 90.00°, γ = 90.00°
Fractional coordinates of all 12 atoms:
Cr (0.000, 0.000, 0.000)
Pt (0.500, 0.500, 0.328)
Pt (0.500, 0.000, 0.155)
Pt (0.500, 0.000, 0.500)
Pt (0.000, 0.500, 0.155)
Pt (0.500, 0.500, 0.672)
Pt (0.500, 0.500, 0.000)
Pt (0.000, 0.500, 0.500)
Pt (0.000, 0.500, 0.845)
Pt (0.500, 0.000, 0.845)
Er (0.000, 0.000, 0.670)
Er (0.000, 0.000, 0.330)

---

[9]
ErCrPt4: relaxed, GGA-PBE.

## Properties
SG	F-43m
E_form	-0.596	eV per atom

a = 5.335 Å, b = 5.335 Å, c = 5.335 Å
α = 60.00°, β = 60.00°, γ = 60.00°
Fractional coordinates of all 6 atoms:
Pt (0.626, 0.625, 0.625)
Pt (0.124, 0.625, 0.625)
Pt (0.626, 0.625, 0.124)
Pt (0.626, 0.124, 0.625)
Cr (0.000, 0.000, 0.000)
Er (0.250, 0.250, 0.250)

---

[10]
Er2CrSi4Pt3: relaxed, GGA-PBE.

## Properties
SG	P-4m2
raw formation energy	-0.951	eV per atom

a = 4.072 Å, b = 4.072 Å, c = 10.252 Å
α = 90.00°, β = 90.00°, γ = 90.00°
Fractional coordinates of all 10 atoms:
Er (0.000, 0.500, 0.748)
Er (0.500, 0.000, 0.252)
Si (0.000, 0.500, 0.365)
Si (0.000, 0.000, 0.000)
Si (0.500, 0.000, 0.635)
Si (0.500, 0.500, 0.000)
Cr (0.500, 0.500, 0.500)
Pt (0.000, 0.500, 0.129)
Pt (0.000, 0.000, 0.500)
Pt (0.500, 0.000, 0.871)

---

[11]
ErPuCrRu: relaxed, GGA-PBE.

## Properties
SG	F-43m
E_form	-0.008	eV per atom

a = 4.807 Å, b = 4.807 Å, c = 4.807 Å
α = 60.00°, β = 60.00°, γ = 60.00°
Fractional coordinates of all 4 atoms:
Er (0.000, 0.000, 0.000)
Pu (0.500, 0.500, 0.500)
Cr (0.750, 0.750, 0.750)
Ru (0.250, 0.250, 0.250)

---

[12]
Rb3Er3CrS8: relaxed, GGA-PBE.

## Properties
SG	R-3m
raw formation energy	-1.528	eV per atom

a = 7.767 Å, b = 7.769 Å, c = 9.051 Å
α = 115.43°, β = 90.00°, γ = 119.99°
Fractional coordinates of all 15 atoms:
S (0.755, 0.966, 0.677)
S (0.211, 0.966, 0.677)
S (0.789, 0.034, 0.323)
S (0.245, 0.034, 0.323)
S (0.731, 0.461, 0.692)
S (0.211, 0.422, 0.677)
S (0.269, 0.539, 0.308)
S (0.789, 0.578, 0.323)
Rb (0.500, 0.500, 0.000)
Rb (0.000, 0.500, 0.000)
Rb (0.000, 0.000, 0.000)
Er (0.500, 0.500, 0.500)
Er (0.000, 0.500, 0.500)
Er (0.500, 0.000, 0.500)
Cr (0.000, 0.000, 0.500)

---

| no. | energy (eV/f.u.) | Fermi-level density of states (states/eV/cell) |
| --- | --- | --- |
| 1 | -24.5 | 12.62 |
| 2 | -27.5 | 2.64 |
| 3 | -54.1 | 13.16 |
| 4 | -28.6 | 1.00 |
| 5 | -64.4 | 6.26 |
| 6 | -33.7 | 4.68 |
| 7 | -109.4 | 16.80 |
| 8 | -82.5 | 12.65 |
| 9 | -41.9 | 8.13 |
| 10 | -68.1 | 2.85 |
| 11 | -37.8 | 5.55 |
| 12 | -82.1 | 7.68 |